DFT (GGA-PBE) results for crystalline CuPb2Cl2O2 at its relaxed geometry.

## Properties
V = 19.05 Å³/atom
Spin magnetization = 0.000 μB/atom
Uncorrected energy = -4.547 eV/atom
Mass density = 7.23 Mg/m³

The structure in extended XYZ format:
```
7
Lattice="-0.556 -7.280 -4.891 -1.624 -8.621 0.506 -1.666 8.445 1.770" Properties=species:S:1:pos:R:3 pbc="T T T"
Pb -1.318 -9.615 -2.651
Pb -0.862 -6.285 -1.733
O -1.645 -0.088 1.138
O -1.111 0.583 -1.560
Cu 0.000 0.000 0.000
Cl -0.385 -2.809 -0.774
Cl -1.795 -13.092 -3.610
```

***

DFT (GGA-PBE) results for crystalline Sr2Cu2RuPb2ClO8 at its relaxed geometry.

## Properties
V = 14.91 Å³/atom
Spin magnetization = 0.154 μB/atom
Uncorrected energy = -5.757 eV/atom
Mass density = 6.83 Mg/m³

The structure in extended XYZ format:
```
16
Lattice="-0.769 3.847 0.022 -2.807 -0.547 -2.685 -10.390 -2.142 11.298" Properties=species:S:1:pos:R:3 pbc="T T T"
Sr -8.420 0.262 5.913
Sr -5.510 0.862 2.749
Cu -11.523 1.642 6.009
Cu -5.985 2.784 -0.012
Ru -8.753 2.212 2.999
Pb -10.863 -0.241 8.569
Pb -3.067 1.366 0.092
Cl -3.561 3.286 -2.652
O -10.245 1.890 7.490
O -11.265 -0.308 6.136
O -4.454 3.083 1.193
O -5.474 0.886 -0.161
O -10.053 1.934 4.429
O -7.435 2.474 1.582
O -7.346 2.482 4.344
O -8.365 0.285 2.991
```

***

DFT (GGA-PBE) results for crystalline Cu2PbSe2Cl2O6 at its relaxed geometry.

## Properties
V = 17.75 Å³/atom
Spin magnetization = 0.144 μB/atom
Uncorrected energy = -4.810 eV/atom
Mass density = 4.74 Mg/m³

The structure in extended XYZ format:
```
26
Lattice="8.280 0.065 0.107 2.505 7.892 0.107 0.209 0.154 7.084" Properties=species:S:1:pos:R:3 pbc="T T T"
Cu 7.814 1.024 5.420
Cu 3.180 7.087 1.878
Cu 1.253 3.946 0.054
Cu 4.244 0.109 3.595
Pb 6.348 2.793 1.878
Pb 4.646 5.318 5.420
Se 8.450 7.433 0.854
Se 1.294 2.153 2.903
Se 2.544 0.678 6.444
Se 9.700 5.958 4.396
Cl 3.449 3.693 0.831
Cl 6.344 5.828 2.925
Cl 7.545 4.418 6.467
Cl 4.650 2.283 4.373
O 6.883 0.899 0.143
O 8.000 1.723 3.614
O 4.111 7.212 7.155
O 2.994 6.388 3.685
O 8.800 3.043 1.656
O 5.385 0.523 2.101
O 2.194 5.068 5.643
O 5.609 7.588 5.198
O 9.670 6.409 1.506
O 1.912 0.686 2.250
O 1.324 1.702 5.792
O 9.082 7.425 5.048
```

***

DFT (GGA-PBE) results for crystalline Cu6PbSe2Cl5O8 at its relaxed geometry.

## Properties
V = 18.12 Å³/atom
Spin magnetization = 0.050 μB/atom
Uncorrected energy = -4.508 eV/atom
Mass density = 4.38 Mg/m³

The structure in extended XYZ format:
```
44
Lattice="9.849 -0.015 -0.018 7.849 5.948 -0.018 7.020 2.354 13.570" Properties=species:S:1:pos:R:3 pbc="T T T"
Cu 12.044 4.038 11.248
Cu 19.734 6.616 6.278
Cu 4.984 1.671 7.255
Cu 10.236 3.432 0.647
Cu 14.854 3.298 10.049
Cu 14.481 4.855 12.886
Cu 9.864 4.989 3.484
Cu 12.359 4.144 6.767
Cu 12.674 4.249 2.285
Cu 13.841 6.322 10.049
Cu 0.000 0.000 0.000
Cu 10.877 1.965 3.484
Pb 16.553 5.550 4.853
Pb 8.164 2.737 8.680
Se 4.271 1.432 3.961
Se 20.447 6.855 9.573
Se 17.005 5.701 10.850
Se 7.712 2.586 2.684
Cl 5.450 1.827 0.006
Cl 14.274 4.786 7.372
Cl 23.041 7.725 12.428
Cl 1.677 0.562 1.106
Cl 17.922 6.009 7.544
Cl 6.796 2.279 5.990
Cl 9.946 3.335 10.989
Cl 14.772 4.953 2.544
Cl 19.268 6.460 13.528
Cl 10.443 3.501 6.161
O 15.779 6.707 10.142
O 13.038 2.499 10.108
O 20.877 7.000 7.857
O 11.910 5.865 10.108
O 11.680 5.788 3.425
O 16.633 4.160 10.142
O 12.808 2.422 3.425
O 8.939 1.580 3.392
O 8.085 4.127 3.392
O 16.343 5.479 12.475
O 18.872 6.327 4.575
O 3.840 1.288 5.676
O 8.375 2.808 1.058
O 10.802 3.622 2.470
O 13.915 4.665 11.063
O 5.846 1.960 8.958
```

***

DFT (GGA-PBE) results for crystalline CuPb5Se4Cl4O12 at its relaxed geometry.

## Properties
V = 19.11 Å³/atom
Spin magnetization = 0.036 μB/atom
Uncorrected energy = -4.988 eV/atom
Mass density = 5.85 Mg/m³

The structure in extended XYZ format:
```
52
Lattice="12.951 0.010 0.022 11.771 5.402 0.022 2.639 0.578 14.230" Properties=species:S:1:pos:R:3 pbc="T T T"
Cu 13.681 2.995 7.137
Cu 12.361 2.706 0.022
Pb 22.555 4.498 2.558
Pb 3.671 0.364 4.601
Pb 4.807 1.492 11.716
Pb 23.691 5.626 9.672
Pb 19.070 4.017 5.281
Pb 7.037 1.383 1.878
Pb 8.291 1.972 8.993
Pb 20.324 4.607 12.396
Pb 13.107 2.458 3.579
Pb 14.255 3.532 10.694
Se 9.185 1.911 4.592
Se 16.899 3.600 2.566
Se 18.177 4.079 9.681
Se 10.463 2.390 11.707
Se 24.752 5.330 5.976
Se 1.327 0.202 1.182
Se 2.610 0.659 8.297
Se 26.034 5.787 13.091
Cl 6.408 1.415 6.484
Cl 19.629 4.309 0.674
Cl 20.953 4.575 7.789
Cl 7.733 1.681 13.599
Cl 10.994 2.240 7.696
Cl 17.757 3.720 13.692
Cl 16.367 3.750 6.577
Cl 9.605 2.270 0.582
O 8.776 0.481 3.700
O 17.868 2.472 3.459
O 18.586 5.508 10.574
O 9.494 3.518 10.815
O 23.984 5.491 4.463
O 1.958 0.669 2.695
O 3.378 0.499 9.810
O 25.404 5.321 11.578
O 8.011 3.013 3.868
O 17.505 5.091 3.290
O 19.350 2.977 10.405
O 9.857 0.899 10.983
O 13.112 4.177 5.607
O 12.384 4.018 1.552
O 14.249 1.813 8.666
O 14.977 1.972 12.722
O 13.946 1.417 5.905
O 12.779 1.162 1.253
O 13.416 4.573 8.368
O 14.582 4.828 13.020
O 10.547 2.567 3.760
O 15.387 3.626 3.399
O 16.814 3.423 10.513
O 11.974 2.364 10.875
```

***

Question: Which formula does entry 5 have?
Answer: CuPb5Se4Cl4O12

***

Question: The highest spin magnetization belongs to which entry?
Answer: Sr2Cu2RuPb2ClO8

***

Copy entry 3 word for word.
DFT (GGA-PBE) results for crystalline Cu2PbSe2Cl2O6 at its relaxed geometry.

## Properties
V = 17.75 Å³/atom
Spin magnetization = 0.144 μB/atom
Uncorrected energy = -4.810 eV/atom
Mass density = 4.74 Mg/m³

The structure in extended XYZ format:
```
26
Lattice="8.280 0.065 0.107 2.505 7.892 0.107 0.209 0.154 7.084" Properties=species:S:1:pos:R:3 pbc="T T T"
Cu 7.814 1.024 5.420
Cu 3.180 7.087 1.878
Cu 1.253 3.946 0.054
Cu 4.244 0.109 3.595
Pb 6.348 2.793 1.878
Pb 4.646 5.318 5.420
Se 8.450 7.433 0.854
Se 1.294 2.153 2.903
Se 2.544 0.678 6.444
Se 9.700 5.958 4.396
Cl 3.449 3.693 0.831
Cl 6.344 5.828 2.925
Cl 7.545 4.418 6.467
Cl 4.650 2.283 4.373
O 6.883 0.899 0.143
O 8.000 1.723 3.614
O 4.111 7.212 7.155
O 2.994 6.388 3.685
O 8.800 3.043 1.656
O 5.385 0.523 2.101
O 2.194 5.068 5.643
O 5.609 7.588 5.198
O 9.670 6.409 1.506
O 1.912 0.686 2.250
O 1.324 1.702 5.792
O 9.082 7.425 5.048
```

***

Question: Among the records above, which one has the lowest V?
Answer: Sr2Cu2RuPb2ClO8